Model 1:
Below is ThMgP2 after structural relaxation, with properties calculated at the PBE-GGA level.

Properties
Magnetic moment in μB per cell: 0.00
Space-group type: R-3m, No. 166

Structure (POSCAR):
```
ThMgP2
1.0
-2.486 -2.437 2.227
0.121 -4.098 -0.516
3.549 -2.601 4.949
P Mg Th
2 1 1
Direct
0.253 0.253 0.240
0.747 0.747 0.760
0.000 0.000 0.000
0.500 0.500 0.500
```

---

Model 2:
Below is ThMgP2 after structural relaxation, with properties calculated at the PBE-GGA level.

Properties
Magnetic moment in μB per cell: 0.00
Space-group type: R3m, No. 160

Structure (POSCAR):
```
ThMgP2
1.0
-1.127 0.079 -3.899
-3.359 -1.949 -1.182
-5.014 4.757 -0.569
Th Mg P
1 1 2
Direct
0.669 0.669 0.994
0.495 0.495 0.516
0.087 0.087 0.738
0.249 0.249 0.252
```

---

Here is how they stack up, most stable first: model 1, model 2.